The following is a DFT calculation (GGA-PBE) of an optimized crystal structure of Sr2ZnGa4Ir3.

The structure in POSCAR format:
```
Sr2ZnGa4Ir3
1.0
-0.4083 -4.0868 1.2308
2.6298 -1.2148 -3.1610
8.4279 1.1380 6.5745
Sr Zn Ga Ir
2 1 4 3
Cartesian
1.8754 -1.7626 2.2377
7.6633 0.2498 3.3717
5.3247 -2.0818 2.3222
1.1108 -2.6508 -0.9651
0.0000 0.0000 0.0000
5.1322 -1.3228 4.7782
4.4065 -0.1899 0.8312
4.2140 0.5690 3.2872
7.1325 -1.0528 6.3386
2.4063 -0.4600 -0.7292
```

## Properties
- Energy of formation: -0.4835 eV per atom

=====

The following is a DFT calculation (GGA-PBE) of an optimized crystal structure of Sc2PaMnN4.

The structure in POSCAR format:
```
Sc2PaMnN4
1.0
-1.0807 0.2223 3.0355
-4.5344 -1.0246 -3.2576
1.4988 -10.8565 1.3285
Sc Pa Mn N
4 2 2 8
Cartesian
-2.9473 -6.6022 -0.5659
-1.7815 -0.6207 1.1295
-1.1690 -5.0568 1.6723
-2.3348 -11.0382 -0.0231
-0.0054 -8.3457 0.6092
-4.1109 -3.3132 0.4973
-2.9416 -8.6659 1.3055
-1.1747 -2.9930 -0.1991
-2.5824 -1.8333 -0.7852
-1.9146 -7.0679 1.5541
-1.5339 -9.8256 1.8916
-2.2017 -4.5910 -0.4477
0.7494 -5.4283 0.6643
0.0000 0.0000 0.0000
-3.4644 -8.9684 -0.5768
-0.6519 -2.6905 1.6832
```

## Properties
- Formation energy without anion corrections: -1362 meV/atom

=====

The following is a DFT calculation (GGA-PBE) of an optimized crystal structure of TbSc2In3.

The structure in POSCAR format:
```
TbSc2In3
1.0
-4.8856 1.2561 0.9894
-2.1370 -3.3734 7.0842
2.2413 5.9472 3.5074
Tb Sc In
2 4 6
Cartesian
-2.3416 -0.6959 2.6750
-4.6810 -1.4214 5.3987
0.0000 0.0000 0.0000
1.1206 2.9736 1.7537
-1.2183 2.2429 4.4860
-3.5631 1.5870 7.0950
-3.1346 4.3365 5.7236
-1.8508 2.1968 1.4199
-1.6468 -0.5066 5.8575
-4.1960 1.5140 4.0589
-0.5854 2.3159 7.5222
-0.7936 5.0065 3.0770
```

## Properties
- Energy of formation: -0.4273 eV per atom
- Polymorph energy (0 for the lowest one): 7 meV/atom

=====

The following is a DFT calculation (GGA-PBE) of an optimized crystal structure of Dy2HoSe4.

The structure in POSCAR format:
```
Dy2HoSe4
1.0
3.9542 0.0000 0.0000
-1.9771 6.7204 0.0000
0.0000 0.0000 13.7860
Dy Ho Se
4 2 8
Cartesian
0.0000 1.7467 5.9273
1.9771 4.9737 12.8203
0.0000 1.7467 0.9657
1.9771 4.9737 7.8587
1.9771 1.7173 10.3395
0.0000 5.0031 3.4465
1.9771 3.7312 1.6935
1.9771 3.7312 5.1995
0.0000 2.9892 12.0925
0.0000 2.9892 8.5866
1.9771 6.3568 10.3395
0.0000 0.3635 3.4465
1.9771 0.0000 0.0000
1.9771 0.0000 6.8930
```

## Properties
- Formation energy without anion corrections: -1823 meV/atom

=====

The following is a DFT calculation (GGA-PBE) of an optimized crystal structure of YCr2Fe.

The structure in POSCAR format:
```
YCr2Fe
1.0
4.9381 -0.0061 -0.0196
-2.1804 4.6714 -0.0190
0.5773 0.7929 2.5741
Cr Fe Y
2 1 1
Cartesian
0.0000 0.0000 0.0000
2.7577 0.3934 1.2772
-0.8015 2.7322 1.2775
1.3788 2.3327 -0.0193
```

## Properties
- Energy of formation: 0.7286 eV per atom
- Polymorph energy (0 for the lowest one): 435 meV/atom

=====

The following is a DFT calculation (GGA-PBE) of an optimized crystal structure of LiAcP2.

The structure in POSCAR format:
```
LiAcP2
1.0
-1.3586 -1.0429 3.2468
-1.6000 -2.8915 -1.5982
5.0040 -3.3342 1.0229
P Ac Li
2 1 1
Cartesian
4.0860 -2.7226 0.8352
0.9179 -0.6116 0.1876
1.0227 -3.6343 1.3357
-1.4793 -1.9672 0.8243
```

## Properties
- Energy of formation: -0.6418 eV per atom
- Polymorph energy (0 for the lowest one): 243 meV/atom

=====

The following is a DFT calculation (GGA-PBE) of an optimized crystal structure of Er2AlCo.

The structure in POSCAR format:
```
Er2AlCo
1.0
3.2639 0.0000 0.0000
1.6320 2.8266 0.0000
1.6320 0.9422 9.7378
Co Al Er
1 1 2
Cartesian
0.0000 0.0000 0.0000
3.2639 1.8844 4.8689
1.6320 0.9422 7.2784
4.8959 2.8266 2.4594
```

## Properties
- Energy of formation: 0.3830 eV per atom

=====

The following is a DFT calculation (GGA-PBE) of an optimized crystal structure of Y4AlCu2.

The structure in POSCAR format:
```
Y4AlCu2
1.0
-0.8635 4.4303 -1.9812
-0.1354 0.5249 -4.8995
-8.6472 0.0576 -2.2347
Y Al Cu
4 1 2
Cartesian
-8.2841 3.5584 -6.8291
-4.0278 4.3745 -6.8592
-1.3619 1.4545 -2.2863
-5.6182 0.6384 -2.2561
-4.8230 2.5064 -4.5577
-2.4589 2.9597 -4.5744
-7.1872 2.0531 -4.5409
```

## Properties
- Energy of formation: -0.1058 eV per atom
- Polymorph energy (0 for the lowest one): 62 meV/atom

=====

The following is a DFT calculation (GGA-PBE) of an optimized crystal structure of Cd2FePt.

The structure in POSCAR format:
```
Cd2FePt
1.0
-1.7219 -3.7240 -1.7463
-0.8362 -0.8403 2.6164
-5.0865 2.1898 0.3458
Cd Fe Pt
2 1 1
Cartesian
-5.7844 1.3019 2.9274
-2.4997 -1.4866 -0.0579
-3.1083 0.5904 1.8059
-5.1365 -0.7559 0.9839
```

## Properties
- Energy of formation: 0.0351 eV per atom

=====

The following is a DFT calculation (GGA-PBE) of an optimized crystal structure of Mg2ScHg.

The structure in POSCAR format:
```
Mg2ScHg
1.0
4.6630 0.0000 0.0000
0.0000 4.3054 0.0000
0.0000 0.0000 4.3054
Sc Mg Hg
1 2 1
Cartesian
2.3315 2.1527 0.0000
0.0000 0.0000 0.0000
0.0000 2.1527 2.1527
2.3315 0.0000 2.1527
```

## Properties
- Energy of formation: -0.2313 eV per atom

=====

The following is a DFT calculation (GGA-PBE) of an optimized crystal structure of TiBe2Te.

The structure in POSCAR format:
```
TiBe2Te
1.0
-3.7691 5.9519 -0.1675
-4.9318 -3.2317 -3.8592
-5.5949 0.6339 0.1852
Be Te Ti
4 2 2
Cartesian
-4.4314 3.5700 -0.5435
-4.8917 -1.2129 -2.3839
-7.3798 1.5474 -1.3091
-11.8887 2.8037 -3.4464
0.0000 0.0000 0.0000
-6.8572 3.9729 -0.9978
-4.3504 1.3601 -2.0133
-7.4386 -0.6189 -2.8437
```

## Properties
- Formation energy without anion corrections: 451 meV/atom

=====

The following is a DFT calculation (GGA-PBE) of an optimized crystal structure of HgHRhPb2.

The structure in POSCAR format:
```
HgHRhPb2
1.0
5.5165 0.0000 0.0000
0.0000 5.5165 0.0000
0.0000 0.0000 3.4811
Pb H Rh Hg
2 1 1 1
Cartesian
0.0000 2.7583 0.0000
2.7583 0.0000 0.0000
0.0000 0.0000 1.7406
0.0000 0.0000 0.0000
2.7583 2.7583 1.7406
```

## Properties
- Polymorph energy (0 for the lowest one): 0 meV/atom